# 1
# GGA-PBE NdHo2Mg3CuHg2, relaxed
# Final energy, eV per atom: -2.871
data_NdHo2Mg3CuHg2
_space_group_name_H-M_alt 'A m m 2'
_space_group_IT_number 38
_cell_length_a 4.1746
_cell_length_b 13.4987
_cell_length_c 7.7140
_cell_angle_alpha 90.00
_cell_angle_beta 90.00
_cell_angle_gamma 90.00
loop_
_space_group_symop_operation_xyz
'x,y,z'
'-x,-y,z'
'-x,y,z'
'x,-y,z'
'x,y+1/2,z+1/2'
'-x,-y+1/2,z+1/2'
'-x,y+1/2,z+1/2'
'x,-y+1/2,z+1/2'
loop_
_atom_site_label
_atom_site_type_symbol
_atom_site_fract_x
_atom_site_fract_y
_atom_site_fract_z
Nd1 Nd 0.0000 0.0000 0.0000
Ho1 Ho 0.0000 0.2008 0.6051
Mg1 Mg 0.5000 0.0000 0.6394
Mg2 Mg 0.5000 0.1186 0.2876
Cu1 Cu 0.0000 0.0000 0.4101
Hg1 Hg 0.5000 0.1712 0.9026

---

# 2
# GGA-PBE PrHo2Mg3CuHg2, relaxed
# Final energy, eV per atom: -2.869
data_PrHo2Mg3CuHg2
_space_group_name_H-M_alt 'A m m 2'
_space_group_IT_number 38
_cell_length_a 4.1847
_cell_length_b 13.5294
_cell_length_c 7.7241
_cell_angle_alpha 90.00
_cell_angle_beta 90.00
_cell_angle_gamma 90.00
loop_
_space_group_symop_operation_xyz
'x,y,z'
'-x,-y,z'
'-x,y,z'
'x,-y,z'
'x,y+1/2,z+1/2'
'-x,-y+1/2,z+1/2'
'-x,y+1/2,z+1/2'
'x,-y+1/2,z+1/2'
loop_
_atom_site_label
_atom_site_type_symbol
_atom_site_fract_x
_atom_site_fract_y
_atom_site_fract_z
Pr1 Pr 0.0000 0.0000 0.0000
Ho1 Ho 0.0000 0.2007 0.6052
Mg1 Mg 0.5000 0.0000 0.6389
Mg2 Mg 0.5000 0.1187 0.2882
Cu1 Cu 0.0000 0.0000 0.4112
Hg1 Hg 0.5000 0.1721 0.9023

---

# 3
# GGA-PBE Y2HoMg3CuHg2, relaxed
# Final energy, eV per atom: -3.294
data_Y2HoMg3CuHg2
_space_group_name_H-M_alt 'A m m 2'
_space_group_IT_number 38
_cell_length_a 4.1462
_cell_length_b 13.3084
_cell_length_c 7.6896
_cell_angle_alpha 90.00
_cell_angle_beta 90.00
_cell_angle_gamma 90.00
loop_
_space_group_symop_operation_xyz
'x,y,z'
'-x,-y,z'
'-x,y,z'
'x,-y,z'
'x,y+1/2,z+1/2'
'-x,-y+1/2,z+1/2'
'-x,y+1/2,z+1/2'
'x,-y+1/2,z+1/2'
loop_
_atom_site_label
_atom_site_type_symbol
_atom_site_fract_x
_atom_site_fract_y
_atom_site_fract_z
Y1 Y 0.0000 0.2013 0.0000
Ho1 Ho 0.0000 0.0000 0.6033
Mg1 Mg 0.5000 0.0000 0.9641
Mg2 Mg 0.5000 0.1187 0.3201
Cu1 Cu 0.0000 0.0000 0.2030
Hg1 Hg 0.5000 0.1657 0.7009

---

# 4
# GGA-PBE HoCuHgS3, relaxed
# Final energy, eV per atom: -4.308
data_HoCuHgS3
_space_group_name_H-M_alt 'C m c m'
_space_group_IT_number 63
_space_group_name_Hall '-C 2c 2'
_cell_length_a 3.8235
_cell_length_b 12.4344
_cell_length_c 10.4099
_cell_angle_alpha 90.00
_cell_angle_beta 90.00
_cell_angle_gamma 90.00
loop_
_atom_site_label
_atom_site_type_symbol
_atom_site_fract_x
_atom_site_fract_y
_atom_site_fract_z
Ho1 Ho 0.0000 0.0000 0.0000
Cu1 Cu 0.0000 0.4726 0.2500
Hg1 Hg 0.0000 0.2438 0.7500
S1 S 0.0000 0.0910 0.2500
S2 S 0.0000 0.3603 0.0754